This record from Alexandria via LeMat-Bulk describes LiIr2Pb2 after structural relaxation. The functional is PBE.

Unit cell a=6.184 b=6.184 c=6.184 alpha=134.55 beta=134.55 gamma=66.24
Fractional positions:
Li  0.000  0.000  0.000
Ir  0.384  0.384  0.000
Ir  0.616  0.616  0.000
Pb  0.250  0.750  0.500
Pb  0.750  0.250  0.500

energy of formation from the pure elements = 0.3066 eV/atom
symmetry = I4/mmm (139)
calculated volume = 118.2 Å³/cell
D(E_F) = 2.5 states/eV/f.u.
energy above the most stable polymorph in this dataset = 0.57 eV per formula unit
total DFT energy (no corrections) = -25.52 eV/cell

---

This record from Alexandria via LeMat-Bulk describes LiIr2Pb after structural relaxation. The functional is PBE.

Unit cell a=3.143 b=4.531 c=4.649 alpha=90.00 beta=90.00 gamma=90.00
Fractional positions:
Li  0.000  0.000  0.000
Ir  0.000  0.500  0.500
Ir  0.500  0.500  0.000
Pb  0.500  0.000  0.500

energy of formation from the pure elements = 0.2837 eV/atom
symmetry = Pmmm (47)
calculated volume = 66.2 Å³/cell
D(E_F) = 3.4 states/eV/f.u.
total DFT energy (no corrections) = -22.21 eV/cell